[1]
Below is a relaxed TlCO2 crystal, with properties calculated at the PBE level.

a b c (Å): 3.9993 3.9993 3.9993
angles (deg): 60.00 60.00 60.00
Atoms (fractional coordinates):
Tl 0.0000 0.0000 0.0000
C 0.5000 0.5000 0.5000
O 0.2500 0.2500 0.2500
O 0.7500 0.7500 0.7500

Calculated values
offset from the most stable computed form	2466.8	meV per atom
ΔE_f (raw)	1.407	eV per atom

---

[2]
Below is a relaxed TlC2O crystal, with properties calculated at the PBE level.

a b c (Å): 5.7990 5.7990 5.7990
angles (deg): 131.27 131.27 71.39
Atoms (fractional coordinates):
Tl 0.0000 0.0000 0.0000
Tl 0.7500 0.2500 0.5000
C 0.2084 0.6250 0.0834
C 0.3750 0.4584 0.5834
C 0.5416 0.1250 0.9166
C 0.8750 0.7916 0.4166
O 0.2500 0.7500 0.5000
O 0.5000 0.5000 0.0000

Calculated values
offset from the most stable computed form	0.0	meV per atom
ΔE_f (raw)	2.262	eV per atom

---

[3]
Below is a relaxed Tl2C2O5 crystal, with properties calculated at the PBE level.

a b c (Å): 6.7246 6.7246 5.7095
angles (deg): 100.30 100.30 41.02
Atoms (fractional coordinates):
Tl 0.1461 0.1461 0.1672
Tl 0.8539 0.8539 0.8328
C 0.3902 0.3902 0.3999
C 0.6098 0.6098 0.6001
O 0.3267 0.3267 0.5460
O 0.3658 0.3658 0.1751
O 0.5000 0.5000 0.5000
O 0.6342 0.6342 0.8249
O 0.6733 0.6733 0.4540

Calculated values
offset from the most stable computed form	17.2	meV per atom
ΔE_f (raw)	-1.065	eV per atom

---

[4]
Below is a relaxed TlC2O crystal, with properties calculated at the PBE level.

a b c (Å): 4.0630 4.0630 4.0630
angles (deg): 60.00 60.00 60.00
Atoms (fractional coordinates):
Tl 0.0000 0.0000 0.0000
C 0.2500 0.2500 0.2500
C 0.7500 0.7500 0.7500
O 0.5000 0.5000 0.5000

Calculated values
offset from the most stable computed form	592.1	meV per atom
ΔE_f (raw)	2.854	eV per atom